DFT (SCAN) results for a PBEsol-optimized structure of TiMo2AsP.

a b c (Å): 4.554 4.554 4.549
angles (deg): 90.00 90.00 90.00
Fractional coordinates of all 5 atoms:
P  0.500  0.500  0.500
Mo  0.000  0.500  0.000
Mo  0.500  0.000  0.000
As  0.000  0.000  0.000
Ti  0.000  0.000  0.500

Output
* D(E_F): 0.81 states/eV per atom
* energy of formation from the pure elements: 505 kJ/mol of formula units
* calculated total energy: -22.232 eV/atom

=====

DFT (SCAN) results for a PBEsol-optimized structure of Na3GaP2H2O9.

a b c (Å): 7.051 7.166 8.487
angles (deg): 114.98 96.31 90.00
Fractional coordinates of all 34 atoms:
Na  0.000  0.235  0.000
Na  0.000  0.765  0.000
Na  0.292  0.388  0.776
Na  0.708  0.612  0.224
Na  0.500  0.000  0.500
Na  0.500  0.500  0.500
Ga  0.000  0.000  0.500
Ga  0.000  0.500  0.500
P  0.225  0.621  0.241
P  0.775  0.379  0.759
P  0.303  0.882  0.765
P  0.697  0.118  0.235
H  0.616  0.947  0.893
H  0.384  0.053  0.107
H  0.817  0.812  0.623
H  0.183  0.188  0.377
O  0.215  0.521  0.043
O  0.785  0.479  0.957
O  0.429  0.668  0.335
O  0.571  0.332  0.665
O  0.115  0.826  0.294
O  0.115  0.469  0.294
O  0.885  0.174  0.706
O  0.885  0.531  0.706
O  0.236  0.010  0.663
O  0.236  0.653  0.663
O  0.764  0.990  0.337
O  0.764  0.347  0.337
O  0.243  0.975  0.950
O  0.757  0.025  0.050
O  0.529  0.886  0.772
O  0.471  0.114  0.228
O  0.882  0.759  0.517
O  0.118  0.241  0.483

Output
* D(E_F): 0.00 states/eV per atom
* calculated total energy: -8.839 eV/atom